DFT (meta-GGA SCAN) results for K2MoSe at its PBEsol-relaxed geometry.

Cell lengths 4.9959, 4.9959, 5.8235 Å; angles 115.40, 115.40, 90.00 degrees
Closest atoms and distances in Å follow each position.
Positions (direct):
Se  0.2500  0.7500  0.5000  4 Mo 3.41, 8 K 3.41-3.53
Mo  0.5000  0.5000  0.0000  8 K 3.41-3.53, 4 Se 3.41
K  0.0000  0.0000  0.0000  4 K 3.41, 4 Se 3.41, 4 Mo 3.53
K  0.7500  0.2500  0.5000  4 Mo 3.41, 4 K 3.41, 4 Se 3.53

Summary:
- Energy above the most stable polymorph in this dataset: 69 meV/atom
- Calculated total energy: -69.95 eV per cell
- SG: I-4m2, No. 119
- Size of the total moment: 5.8 μB/cell



DFT (meta-GGA SCAN) results for CsGe2Pd2 at its PBEsol-relaxed geometry.

Cell lengths 4.0834, 4.0834, 7.8711 Å; angles 105.03, 105.03, 90.00 degrees
Closest atoms and distances in Å follow each position.
Positions (direct):
Cs  0.0000  0.0000  0.0000  8 Ge 3.67, 4 Cs 4.08
Pd  0.7500  0.2500  0.5000  4 Ge 2.47
Ge  0.3449  0.3449  0.6897  4 Pd 2.47
Ge  0.6551  0.6551  0.3103  4 Pd 2.47
Pd  0.2500  0.7500  0.5000  4 Ge 2.47

Summary:
- Calculated total energy: -143.70 eV per cell
- SG: I4/mmm, No. 139
- Formation energy: -209 kJ/mol of formula units
- Size of the total moment: 0.0 μB/cell